First-principles (PBE+U) data for crystalline Al2SnWO at its relaxed geometry, as listed in Alexandria via LeMat-Bulk.

Results
Total magnetization = 2.80 μB/cell
DFT total energy = -4.7514 eV per atom
DOS(E_F) = 0.485 states/eV per atom
Crystal system = tetragonal

a = 4.314 Å, b = 4.574 Å, c = 4.314 Å
α = 90.00°, β = 90.00°, γ = 90.00°
Each line ends with the local moment (μB).
Positions (direct):
Al (0.500, 0.000, 0.000)  -0.06
Al (0.000, 0.000, 0.500)  -0.03
W (0.000, 0.500, 0.000)  2.74
Sn (0.500, 0.500, 0.500)  -0.04
O (0.000, 0.000, 0.000)  0.01